## BaMg2Tc (GGA-PBE)

Data for crystalline BaMg2Tc at its relaxed geometry.

a = 8.034 Å, b = 8.034 Å, c = 8.034 Å
α = 155.99°, β = 147.21°, γ = 41.05°
Sites, in units of the cell vectors:
Ba  0.000  0.000  0.000
Mg  0.311  0.811  0.500
Mg  0.675  0.675  0.000
Tc  0.821  0.321  0.500

Calculated values
The total energy comes out at -13.5 eV per cell. The energy above the most stable polymorph in this dataset is 100.5 meV/atom. The formation energy is 502 meV/atom. Its density of states at the Fermi level is 0.98 states/eV/atom. The value obtained for the magnetization is 1.33 μB per formula unit.